Record 1
Material: Sm2Mg3Rh2
Method: DFT, PBE-GGA
State: relaxed

Geometry as CIF:
```
data_Sm2Mg3Rh2
_cell_length_a 10.329
_cell_length_b 4.203
_cell_length_c 7.274
_cell_angle_alpha 90.00
_cell_angle_beta 97.68
_cell_angle_gamma 90.00
_symmetry_space_group_name_H-M 'C 1 2/m 1'
_symmetry_Int_Tables_number 12
loop_
_symmetry_equiv_pos_as_xyz
'x,y,z'
'-x,-y,-z'
'-x,y,-z'
'x,-y,z'
'x+1/2,y+1/2,z'
'-x+1/2,-y+1/2,-z'
'-x+1/2,y+1/2,-z'
'x+1/2,-y+1/2,z'
loop_
_atom_site_label
_atom_site_type_symbol
_atom_site_fract_x
_atom_site_fract_y
_atom_site_fract_z
Sm1 Sm 0.125 0.000 0.367
Mg1 Mg 0.000 0.500 0.000
Mg2 Mg 0.185 0.000 0.865
Rh1 Rh 0.094 0.500 0.658
```

Calculated values
- Raw total energy: -64.61 eV/cell
- Formation energy from the elements: -0.4826 eV per atom

Record 2
Material: Sm4Mg3Rh
Method: DFT, PBE-GGA
State: relaxed

Geometry as CIF:
```
data_Sm4Mg3Rh
_cell_length_a 3.711
_cell_length_b 3.711
_cell_length_c 15.432
_cell_angle_alpha 90.00
_cell_angle_beta 90.00
_cell_angle_gamma 90.00
_symmetry_space_group_name_H-M 'P 4/m m m'
_symmetry_Int_Tables_number 123
_symmetry_space_group_name_Hall '-P 4 2'
loop_
_atom_site_label
_atom_site_type_symbol
_atom_site_fract_x
_atom_site_fract_y
_atom_site_fract_z
Sm1 Sm 0.000 0.000 0.104
Sm2 Sm 0.000 0.000 0.372
Mg1 Mg 0.500 0.500 0.241
Mg2 Mg 0.500 0.500 0.500
Rh1 Rh 0.500 0.500 0.000
```

Calculated values
- Raw total energy: -33.03 eV/cell
- Formation energy from the elements: -0.2517 eV per atom

Record 3
Material: SmMgRh
Method: DFT, PBE-GGA
State: relaxed

Geometry as CIF:
```
data_SmMgRh
_cell_length_a 3.518
_cell_length_b 12.154
_cell_length_c 6.348
_cell_angle_alpha 90.00
_cell_angle_beta 90.00
_cell_angle_gamma 90.00
_symmetry_space_group_name_H-M 'C m c m'
_symmetry_Int_Tables_number 63
_symmetry_space_group_name_Hall '-C 2c 2'
loop_
_atom_site_label
_atom_site_type_symbol
_atom_site_fract_x
_atom_site_fract_y
_atom_site_fract_z
Sm1 Sm 0.000 0.146 0.250
Mg1 Mg 0.000 0.113 0.750
Rh1 Rh 0.000 0.500 0.000
```

Calculated values
- Raw total energy: -59.68 eV/cell
- Formation energy from the elements: -0.4179 eV per atom

Record 4
Material: SmMg4Rh
Method: DFT, PBE-GGA
State: relaxed

Geometry as CIF:
```
data_SmMg4Rh
_cell_length_a 8.678
_cell_length_b 4.230
_cell_length_c 7.387
_cell_angle_alpha 90.00
_cell_angle_beta 90.00
_cell_angle_gamma 90.00
_symmetry_space_group_name_H-M 'P m m a'
_symmetry_Int_Tables_number 51
loop_
_symmetry_equiv_pos_as_xyz
'x,y,z'
'-x,-y,-z'
'-x+1/2,-y,z'
'x+1/2,y,-z'
'x+1/2,-y,-z'
'-x+1/2,y,z'
'-x,y,-z'
'x,-y,z'
loop_
_atom_site_label
_atom_site_type_symbol
_atom_site_fract_x
_atom_site_fract_y
_atom_site_fract_z
Sm1 Sm 0.250 0.000 0.093
Mg1 Mg 0.000 0.000 0.500
Mg2 Mg 0.063 0.500 0.803
Mg3 Mg 0.250 0.500 0.459
Rh1 Rh 0.250 0.000 0.714
```

Calculated values
- Raw total energy: -40.62 eV/cell
- Formation energy from the elements: -0.3103 eV per atom

Record 5
Material: Sm2MgRh2
Method: DFT, PBE-GGA
State: relaxed

Geometry as CIF:
```
data_Sm2MgRh2
_cell_length_a 10.402
_cell_length_b 5.544
_cell_length_c 8.057
_cell_angle_alpha 90.00
_cell_angle_beta 107.73
_cell_angle_gamma 90.00
_symmetry_space_group_name_H-M 'C 1 2/c 1'
_symmetry_Int_Tables_number 15
loop_
_symmetry_equiv_pos_as_xyz
'x,y,z'
'-x,-y,-z'
'-x,y,-z+1/2'
'x,-y,z+1/2'
'x+1/2,y+1/2,z'
'-x+1/2,-y+1/2,-z'
'-x+1/2,y+1/2,-z+1/2'
'x+1/2,-y+1/2,z+1/2'
loop_
_atom_site_label
_atom_site_type_symbol
_atom_site_fract_x
_atom_site_fract_y
_atom_site_fract_z
Sm1 Sm 0.147 0.148 0.149
Mg1 Mg 0.000 0.366 0.750
Rh1 Rh 0.136 0.352 0.515
```

Calculated values
- Raw total energy: -116.06 eV/cell
- Formation energy from the elements: -0.6558 eV per atom

Record 6
Material: Sm3MgRh8
Method: DFT, PBE-GGA
State: relaxed

Geometry as CIF:
```
data_Sm3MgRh8
_cell_length_a 5.3351
_cell_length_b 5.3351
_cell_length_c 26.2541
_cell_angle_alpha 90.00
_cell_angle_beta 90.00
_cell_angle_gamma 120.00
_symmetry_space_group_name_H-M 'R 3 m'
_symmetry_Int_Tables_number 160
_symmetry_space_group_name_Hall 'R 3 -2"'
loop_
_atom_site_label
_atom_site_type_symbol
_atom_site_fract_x
_atom_site_fract_y
_atom_site_fract_z
Sm1 Sm 0.0000 0.0000 0.0000
Sm2 Sm 0.0000 0.0000 0.1277
Sm3 Sm 0.0000 0.0000 0.5075
Mg1 Mg 0.0000 0.0000 0.6303
Rh1 Rh 0.0000 0.0000 0.3158
Rh2 Rh 0.0000 0.0000 0.8159
Rh3 Rh 0.1670 0.3341 0.3983
Rh4 Rh 0.1670 0.3340 0.9002
```

Calculated values
- Raw total energy: -245.31 eV/cell
- Formation energy from the elements: -0.6005 eV per atom

Question: Which formula does entry 5 have?
Answer: Sm2MgRh2

Question: Look up the raw total energy of the third one.
Answer: -59.68 eV/cell

Question: The lowest raw total energy belongs to which entry?
Answer: Sm3MgRh8

What did the sixth record say?
Material: Sm3MgRh8
Method: DFT, PBE-GGA
State: relaxed

Geometry as CIF:
```
data_Sm3MgRh8
_cell_length_a 5.3351
_cell_length_b 5.3351
_cell_length_c 26.2541
_cell_angle_alpha 90.00
_cell_angle_beta 90.00
_cell_angle_gamma 120.00
_symmetry_space_group_name_H-M 'R 3 m'
_symmetry_Int_Tables_number 160
_symmetry_space_group_name_Hall 'R 3 -2"'
loop_
_atom_site_label
_atom_site_type_symbol
_atom_site_fract_x
_atom_site_fract_y
_atom_site_fract_z
Sm1 Sm 0.0000 0.0000 0.0000
Sm2 Sm 0.0000 0.0000 0.1277
Sm3 Sm 0.0000 0.0000 0.5075
Mg1 Mg 0.0000 0.0000 0.6303
Rh1 Rh 0.0000 0.0000 0.3158
Rh2 Rh 0.0000 0.0000 0.8159
Rh3 Rh 0.1670 0.3341 0.3983
Rh4 Rh 0.1670 0.3340 0.9002
```

Calculated values
- Raw total energy: -245.31 eV/cell
- Formation energy from the elements: -0.6005 eV per atom